<w>
Entry from the Open Quantum Materials Database: crystalline LaNbTl at its relaxed geometry (PBE-GGA). Values from VASP.

Cell and atoms, written as Quantum ESPRESSO input:
```
&SYSTEM
  ibrav = 0, nat = 3, ntyp = 3
/
ATOMIC_SPECIES
La 138.91 La.upf
Nb 92.91 Nb.upf
Tl 204.38 Tl.upf
CELL_PARAMETERS angstrom
1.3734 -2.7891 4.1049
-2.3603 0.7330 4.5175
-3.1868 -3.5953 1.8531
ATOMIC_POSITIONS crystal
La 0.0000 0.0000 0.0000
Nb 0.2500 0.2500 0.2500
Tl 0.7500 0.7500 0.7500
```

<x>
Entry from the Open Quantum Materials Database: crystalline LaNbTl at its relaxed geometry (PBE-GGA). Values from VASP.

Cell and atoms, written as Quantum ESPRESSO input:
```
&SYSTEM
  ibrav = 0, nat = 3, ntyp = 3
/
ATOMIC_SPECIES
La 138.91 La.upf
Nb 92.91 Nb.upf
Tl 204.38 Tl.upf
CELL_PARAMETERS angstrom
0.0000 3.5871 3.5871
3.5871 0.0000 3.5871
3.5871 3.5871 0.0000
ATOMIC_POSITIONS crystal
La 0.2500 0.2500 0.2500
Nb 0.7500 0.7500 0.7500
Tl 0.0000 0.0000 0.0000
```

Result of the stability comparison: <x> is the most stable of them.

<w>
Entry from the Open Quantum Materials Database: crystalline LaNd at its relaxed geometry (PBE-GGA). Values from VASP.

Cell and atoms, written as Quantum ESPRESSO input:
```
&SYSTEM
  ibrav = 0, nat = 2, ntyp = 2
/
ATOMIC_SPECIES
La 138.91 La.upf
Nd 144.24 Nd.upf
CELL_PARAMETERS angstrom
2.2679 1.8690 3.6355
-2.4058 1.8833 3.5382
-0.0931 -2.1316 4.1595
ATOMIC_POSITIONS crystal
La 0.0000 0.0000 0.0000
Nd 0.2500 0.2500 0.2500
```

<x>
Entry from the Open Quantum Materials Database: crystalline LaNd at its relaxed geometry (PBE-GGA). Values from VASP.

Cell and atoms, written as Quantum ESPRESSO input:
```
&SYSTEM
  ibrav = 0, nat = 2, ntyp = 2
/
ATOMIC_SPECIES
La 138.91 La.upf
Nd 144.24 Nd.upf
CELL_PARAMETERS angstrom
3.7346 0.0000 0.0000
-1.8673 3.2343 0.0000
0.0000 0.0000 6.0650
ATOMIC_POSITIONS crystal
La 0.6667 0.3333 0.7500
Nd 0.3333 0.6667 0.2500
```

Result of the stability comparison: <x> is the most stable of them.

<w>
Entry from the Open Quantum Materials Database: crystalline LaNd at its relaxed geometry (PBE-GGA). Values from VASP.

Cell and atoms, written as Quantum ESPRESSO input:
```
&SYSTEM
  ibrav = 0, nat = 4, ntyp = 2
/
ATOMIC_SPECIES
La 138.91 La.upf
Nd 144.24 Nd.upf
CELL_PARAMETERS angstrom
3.8325 0.0000 0.0000
-1.9163 3.3191 0.0000
0.0000 0.0000 10.7409
ATOMIC_POSITIONS crystal
La 0.3333 0.6667 0.2500
La 0.6667 0.3333 0.7500
Nd 0.0000 0.0000 0.0000
Nd 0.0000 0.0000 0.5000
```

<x>
Entry from the Open Quantum Materials Database: crystalline LaNd at its relaxed geometry (PBE-GGA). Values from VASP.

Cell and atoms, written as Quantum ESPRESSO input:
```
&SYSTEM
  ibrav = 0, nat = 2, ntyp = 2
/
ATOMIC_SPECIES
La 138.91 La.upf
Nd 144.24 Nd.upf
CELL_PARAMETERS angstrom
-2.5610 -3.9338 -0.2148
-4.6900 0.2543 -0.1359
-2.2988 -1.0942 -3.9493
ATOMIC_POSITIONS crystal
La 0.0000 0.0000 0.0000
Nd 0.5000 0.5000 0.5000
```

Result of the stability comparison: <w> is the most stable of them.

<w>
Entry from the Open Quantum Materials Database: crystalline LaNdNi at its relaxed geometry (PBE-GGA). Values from VASP.

Cell and atoms, written as Quantum ESPRESSO input:
```
&SYSTEM
  ibrav = 0, nat = 9, ntyp = 3
/
ATOMIC_SPECIES
La 138.91 La.upf
Nd 144.24 Nd.upf
Ni 58.69 Ni.upf
CELL_PARAMETERS angstrom
4.5348 0.0000 0.0000
0.0000 6.5651 3.7893
0.0000 -6.5651 3.7893
ATOMIC_POSITIONS crystal
La 0.0000 0.5947 0.0000
La 0.0000 0.4054 0.4054
La 0.0000 0.0000 0.5947
Nd 0.0000 0.0000 0.0000
Nd 0.5000 0.6666 0.3333
Nd 0.5000 0.3333 0.6666
Ni 0.5000 0.2555 0.0000
Ni 0.5000 0.0000 0.2555
Ni 0.5000 0.7445 0.7445
```

<x>
Entry from the Open Quantum Materials Database: crystalline LaNdNi at its relaxed geometry (PBE-GGA). Values from VASP.

Cell and atoms, written as Quantum ESPRESSO input:
```
&SYSTEM
  ibrav = 0, nat = 3, ntyp = 3
/
ATOMIC_SPECIES
La 138.91 La.upf
Nd 144.24 Nd.upf
Ni 58.69 Ni.upf
CELL_PARAMETERS angstrom
2.6310 -2.7619 3.0951
-1.7479 -1.0165 4.4768
-1.4749 -4.5584 1.0841
ATOMIC_POSITIONS crystal
La 0.2500 0.2500 0.2500
Nd 0.7500 0.7500 0.7500
Ni 0.0000 0.0000 0.0000
```

Result of the stability comparison: <x> is the most stable of them.

<w>
Entry from the Open Quantum Materials Database: crystalline LaNd2Zn2Si4Pd2 at its relaxed geometry (PBE-GGA). Values from VASP.

Cell and atoms, written as Quantum ESPRESSO input:
```
&SYSTEM
  ibrav = 0, nat = 11, ntyp = 5
/
ATOMIC_SPECIES
La 138.91 La.upf
Nd 144.24 Nd.upf
Pd 106.42 Pd.upf
Si 28.09 Si.upf
Zn 65.41 Zn.upf
CELL_PARAMETERS angstrom
7.8288 10.1728 -1.2544
2.7739 12.5722 0.7714
-4.2954 -11.7826 3.0115
ATOMIC_POSITIONS crystal
La 0.0000 0.0000 0.0000
Nd 0.6473 0.1473 0.5000
Nd 0.3527 0.8527 0.5000
Pd 0.9046 0.4046 0.5000
Pd 0.0954 0.5954 0.5000
Si 0.4520 0.4520 0.0000
Si 0.5480 0.5480 0.0000
Si 0.8089 0.3089 0.5000
Si 0.1911 0.6911 0.5000
Zn 0.2500 0.2500 0.0000
Zn 0.7500 0.7500 0.0000
```

<x>
Entry from the Open Quantum Materials Database: crystalline LaNd2Zn2Si4Pd2 at its relaxed geometry (PBE-GGA). Values from VASP.

Cell and atoms, written as Quantum ESPRESSO input:
```
&SYSTEM
  ibrav = 0, nat = 11, ntyp = 5
/
ATOMIC_SPECIES
La 138.91 La.upf
Nd 144.24 Nd.upf
Pd 106.42 Pd.upf
Si 28.09 Si.upf
Zn 65.41 Zn.upf
CELL_PARAMETERS angstrom
-2.0984 2.1382 12.2649
2.0984 -2.1382 12.2649
2.0984 2.1382 -12.2649
ATOMIC_POSITIONS crystal
La 0.0000 0.0000 0.0000
Nd 0.8521 0.3521 0.5000
Nd 0.1479 0.6479 0.5000
Pd 0.2501 0.2501 0.0000
Pd 0.7499 0.7499 0.0000
Si 0.4513 0.4513 0.0000
Si 0.5487 0.5487 0.0000
Si 0.6963 0.1963 0.5000
Si 0.3037 0.8037 0.5000
Zn 0.5978 0.0978 0.5000
Zn 0.4022 0.9022 0.5000
```

Result of the stability comparison: <x> is the most stable of them.

<w>
Entry from the Open Quantum Materials Database: crystalline LaNdZn6 at its relaxed geometry (PBE-GGA). Values from VASP.

Cell and atoms, written as Quantum ESPRESSO input:
```
&SYSTEM
  ibrav = 0, nat = 8, ntyp = 3
/
ATOMIC_SPECIES
La 138.91 La.upf
Nd 144.24 Nd.upf
Zn 65.41 Zn.upf
CELL_PARAMETERS angstrom
-2.5008 3.9968 -3.0593
2.4201 -0.9564 -4.9816
-4.0344 -3.0541 -2.4498
ATOMIC_POSITIONS crystal
La 0.0000 0.0000 0.0000
Nd 0.5000 0.5000 0.5000
Zn 0.2606 0.4562 0.0305
Zn 0.4563 0.0304 0.2606
Zn 0.0305 0.2605 0.4564
Zn 0.9695 0.7395 0.5436
Zn 0.5437 0.9696 0.7394
Zn 0.7393 0.5438 0.9695
```

<x>
Entry from the Open Quantum Materials Database: crystalline LaNdZn6 at its relaxed geometry (PBE-GGA). Values from VASP.

Cell and atoms, written as Quantum ESPRESSO input:
```
&SYSTEM
  ibrav = 0, nat = 8, ntyp = 3
/
ATOMIC_SPECIES
La 138.91 La.upf
Nd 144.24 Nd.upf
Zn 65.41 Zn.upf
CELL_PARAMETERS angstrom
4.8247 0.0000 0.0000
0.0000 6.8124 0.0000
0.0000 0.0000 4.8252
ATOMIC_POSITIONS crystal
La 0.0000 0.0000 0.7470
Nd 0.5000 0.5000 0.2532
Zn 0.0000 0.2536 0.2464
Zn 0.0000 0.7464 0.2464
Zn 0.5000 0.0000 0.2517
Zn 0.0000 0.5000 0.7478
Zn 0.5000 0.2536 0.7537
Zn 0.5000 0.7464 0.7537
```

Result of the stability comparison: <x> is the most stable of them.